The following is a GGA-PBEsol calculation of an optimized crystal structure of Na2CrOsRu, from the Alexandria database.

VASP energy	-24.3	eV per formula unit
space-group type	P4/mmm (123)
formation energy from the elements	2.227	eV/atom

abc: 4.717 4.717 4.306
angles: 90.00 90.00 90.00
Atoms (fractional coordinates):
1 Na 0.000 0.500 0.000
2 Na 0.500 0.000 0.000
3 Cr 0.000 0.000 0.000
4 Os 0.500 0.500 0.500
5 Ru 0.000 0.000 0.500


The following is a GGA-PBEsol calculation of an optimized crystal structure of Li2Cr2FeSbO8, from the Alexandria database.

VASP energy	-104.7	eV per formula unit
space-group type	Cm (8)
uncorrected formation energy	-1.772	eV per atom

abc: 5.799 5.799 9.506
angles: 90.04 90.04 59.52
Atoms (fractional coordinates):
1 Li 0.000 0.000 0.000
2 Li 0.001 0.001 0.494
3 Li 0.339 0.339 0.908
4 Li 0.672 0.672 0.404
5 Cr 0.170 0.170 0.219
6 Cr 0.343 0.834 0.721
7 Cr 0.834 0.343 0.721
8 Cr 0.834 0.834 0.721
9 Fe 0.180 0.654 0.219
10 Fe 0.654 0.180 0.219
11 Sb 0.337 0.337 0.493
12 Sb 0.671 0.671 0.998
13 O 0.004 0.004 0.814
14 O 0.037 0.490 0.340
15 O 0.165 0.165 0.601
16 O 0.166 0.680 0.604
17 O 0.324 0.838 0.103
18 O 0.336 0.336 0.115
19 O 0.487 0.487 0.341
20 O 0.490 0.037 0.340
21 O 0.519 0.971 0.846
22 O 0.522 0.522 0.846
23 O 0.671 0.671 0.612
24 O 0.680 0.166 0.604
25 O 0.838 0.324 0.103
26 O 0.843 0.843 0.104
27 O 0.971 0.519 0.846
28 O 0.996 0.996 0.308


The following is a GGA-PBEsol calculation of an optimized crystal structure of Ta2TcW, from the Alexandria database.

VASP energy	-49.3	eV per formula unit
space-group type	R3m (160)
formation energy from the elements	0.208	eV/atom
offset from the most stable computed form	494	meV per atom

abc: 2.951 2.951 26.438
angles: 90.00 90.00 120.00
Atoms (fractional coordinates):
1 Ta 0.000 0.000 0.000
2 Ta 0.000 0.000 0.245
3 Ta 0.333 0.667 0.667
4 Ta 0.333 0.667 0.911
5 Ta 0.667 0.333 0.333
6 Ta 0.667 0.333 0.578
7 Tc 0.000 0.000 0.748
8 Tc 0.333 0.667 0.415
9 Tc 0.667 0.333 0.082
10 W 0.000 0.000 0.491
11 W 0.333 0.667 0.158
12 W 0.667 0.333 0.825


The following is a GGA-PBEsol calculation of an optimized crystal structure of B2TePt, from the Alexandria database.

VASP energy	-22.9	eV per formula unit
space-group type	I-42d (122)
uncorrected formation energy	0.404	eV per atom

abc: 5.125 5.125 9.661
angles: 90.00 90.00 90.00
Atoms (fractional coordinates):
1 B 0.212 0.250 0.125
2 B 0.250 0.712 0.375
3 B 0.250 0.788 0.875
4 B 0.288 0.250 0.625
5 B 0.712 0.750 0.625
6 B 0.750 0.212 0.875
7 B 0.750 0.288 0.375
8 B 0.788 0.750 0.125
9 Te 0.000 0.000 0.500
10 Te 0.000 0.500 0.750
11 Te 0.500 0.000 0.250
12 Te 0.500 0.500 0.000
13 Pt 0.000 0.000 0.000
14 Pt 0.000 0.500 0.250
15 Pt 0.500 0.000 0.750
16 Pt 0.500 0.500 0.500


The following is a GGA-PBEsol calculation of an optimized crystal structure of CoPtPb2, from the Alexandria database.

VASP energy	-20.4	eV per formula unit
space-group type	F-43m (216)
formation energy from the elements	0.572	eV/atom

abc: 6.770 6.770 6.770
angles: 90.00 90.00 90.00
Atoms (fractional coordinates):
1 Co 0.000 0.000 0.000
2 Co 0.000 0.500 0.500
3 Co 0.500 0.000 0.500
4 Co 0.500 0.500 0.000
5 Pt 0.250 0.250 0.750
6 Pt 0.250 0.750 0.250
7 Pt 0.750 0.250 0.250
8 Pt 0.750 0.750 0.750
9 Pb 0.000 0.000 0.500
10 Pb 0.000 0.500 0.000
11 Pb 0.250 0.250 0.250
12 Pb 0.250 0.750 0.750
13 Pb 0.500 0.000 0.000
14 Pb 0.500 0.500 0.500
15 Pb 0.750 0.250 0.750
16 Pb 0.750 0.750 0.250


The following is a GGA-PBEsol calculation of an optimized crystal structure of TlSbBr2, from the Alexandria database.

VASP energy	-11.6	eV per formula unit
space-group type	P4mm (99)
uncorrected formation energy	-0.161	eV per atom

abc: 3.908 3.908 8.149
angles: 90.00 90.00 90.00
Atoms (fractional coordinates):
1 Tl 0.000 0.000 0.000
2 Sb 0.500 0.500 0.653
3 Br 0.000 0.000 0.542
4 Br 0.500 0.500 0.182


The following is a GGA-PBEsol calculation of an optimized crystal structure of NdNiP, from the Alexandria database.

VASP energy	-20.7	eV per formula unit
space-group type	P6_3/mmc (194)
formation energy from the elements	-1.207	eV/atom

abc: 3.918 3.918 7.975
angles: 90.00 90.00 120.00
Atoms (fractional coordinates):
1 Nd 0.000 0.000 0.000
2 Nd 0.000 0.000 0.500
3 Ni 0.333 0.667 0.250
4 Ni 0.667 0.333 0.750
5 P 0.333 0.667 0.750
6 P 0.667 0.333 0.250


The following is a GGA-PBEsol calculation of an optimized crystal structure of BeZn2Cl, from the Alexandria database.

VASP energy	-8.1	eV per formula unit
space-group type	Immm (71)
uncorrected formation energy	0.261	eV per atom

abc: 3.028 5.356 7.919
angles: 90.00 90.00 90.00
Atoms (fractional coordinates):
1 Be 0.000 0.000 0.000
2 Be 0.500 0.500 0.500
3 Zn 0.000 0.500 0.272
4 Zn 0.000 0.500 0.728
5 Zn 0.500 0.000 0.228
6 Zn 0.500 0.000 0.772
7 Cl 0.000 0.000 0.500
8 Cl 0.500 0.500 0.000


The following is a GGA-PBEsol calculation of an optimized crystal structure of TcPdCl2, from the Alexandria database.

VASP energy	-20.7	eV per formula unit
space-group type	R-3m (166)
uncorrected formation energy	0.141	eV per atom

abc: 3.028 3.028 24.253
angles: 90.00 90.00 120.00
Atoms (fractional coordinates):
1 Tc 0.000 0.000 0.000
2 Tc 0.333 0.667 0.667
3 Tc 0.667 0.333 0.333
4 Pd 0.000 0.000 0.500
5 Pd 0.333 0.667 0.167
6 Pd 0.667 0.333 0.833
7 Cl 0.000 0.000 0.404
8 Cl 0.000 0.000 0.596
9 Cl 0.333 0.667 0.071
10 Cl 0.333 0.667 0.263
11 Cl 0.667 0.333 0.737
12 Cl 0.667 0.333 0.929


The following is a GGA-PBEsol calculation of an optimized crystal structure of InIr3Se, from the Alexandria database.

VASP energy	-30.6	eV per formula unit
space-group type	Pm-3m (221)
uncorrected formation energy	1.141	eV per atom

abc: 4.560 4.560 4.560
angles: 90.00 90.00 90.00
Atoms (fractional coordinates):
1 In 0.000 0.000 0.000
2 Ir 0.000 0.500 0.500
3 Ir 0.500 0.000 0.500
4 Ir 0.500 0.500 0.000
5 Se 0.500 0.500 0.500


The following is a GGA-PBEsol calculation of an optimized crystal structure of CsMoP3, from the Alexandria database.

VASP energy	-16.6	eV per formula unit
space-group type	Pm-3m (221)
formation energy from the elements	2.690	eV/atom

abc: 5.151 5.151 5.151
angles: 90.00 90.00 90.00
Atoms (fractional coordinates):
1 Cs 0.000 0.000 0.000
2 Mo 0.500 0.500 0.500
3 P 0.000 0.000 0.500
4 P 0.000 0.500 0.000
5 P 0.500 0.000 0.000


The following is a GGA-PBEsol calculation of an optimized crystal structure of CaCo2Ag, from the Alexandria database.

VASP energy	-18.8	eV per formula unit
space-group type	P2/m (10)
formation energy from the elements	0.528	eV/atom

abc: 2.894 4.574 5.208
angles: 90.00 98.55 90.00
Atoms (fractional coordinates):
1 Ca 0.000 0.000 0.000
2 Co 0.288 0.500 0.671
3 Co 0.712 0.500 0.329
4 Ag 0.500 0.000 0.500


The following is a GGA-PBEsol calculation of an optimized crystal structure of AlAgMo2, from the Alexandria database.

VASP energy	-30.4	eV per formula unit
space-group type	Immm (71)
formation energy from the elements	0.140	eV/atom

abc: 3.413 4.043 8.873
angles: 90.00 90.00 90.00
Atoms (fractional coordinates):
1 Al 0.000 0.000 0.000
2 Al 0.500 0.500 0.500
3 Ag 0.000 0.000 0.500
4 Ag 0.500 0.500 0.000
5 Mo 0.000 0.500 0.254
6 Mo 0.000 0.500 0.746
7 Mo 0.500 0.000 0.246
8 Mo 0.500 0.000 0.754


The following is a GGA-PBEsol calculation of an optimized crystal structure of Fe2PbW, from the Alexandria database.

VASP energy	-33.1	eV per formula unit
space-group type	Cmmm (65)
formation energy from the elements	0.649	eV/atom

abc: 3.303 4.609 8.298
angles: 90.00 90.00 90.00
Atoms (fractional coordinates):
1 Fe 0.000 0.000 0.227
2 Fe 0.000 0.000 0.773
3 Fe 0.500 0.500 0.227
4 Fe 0.500 0.500 0.773
5 Pb 0.000 0.500 0.500
6 Pb 0.500 0.000 0.500
7 W 0.000 0.500 0.000
8 W 0.500 0.000 0.000


The following is a GGA-PBEsol calculation of an optimized crystal structure of BRhF2, from the Alexandria database.

VASP energy	-17.3	eV per formula unit
space-group type	Fm-3m (225)
uncorrected formation energy	0.421	eV per atom

abc: 5.531 5.531 5.531
angles: 90.00 90.00 90.00
Atoms (fractional coordinates):
1 B 0.000 0.000 0.000
2 B 0.000 0.500 0.500
3 B 0.500 0.000 0.500
4 B 0.500 0.500 0.000
5 Rh 0.000 0.000 0.500
6 Rh 0.000 0.500 0.000
7 Rh 0.500 0.000 0.000
8 Rh 0.500 0.500 0.500
9 F 0.250 0.250 0.250
10 F 0.250 0.250 0.750
11 F 0.250 0.750 0.250
12 F 0.250 0.750 0.750
13 F 0.750 0.250 0.250
14 F 0.750 0.250 0.750
15 F 0.750 0.750 0.250
16 F 0.750 0.750 0.750


The following is a GGA-PBEsol calculation of an optimized crystal structure of KRb2Ba, from the Alexandria database.

VASP energy	-4.7	eV per formula unit
space-group type	Fm-3m (225)
formation energy from the elements	0.155	eV/atom

abc: 10.613 10.613 10.613
angles: 90.00 90.00 90.00
Atoms (fractional coordinates):
1 K 0.000 0.000 0.000
2 K 0.000 0.500 0.500
3 K 0.500 0.000 0.500
4 K 0.500 0.500 0.000
5 Rb 0.250 0.250 0.250
6 Rb 0.250 0.250 0.750
7 Rb 0.250 0.750 0.250
8 Rb 0.250 0.750 0.750
9 Rb 0.750 0.250 0.250
10 Rb 0.750 0.250 0.750
11 Rb 0.750 0.750 0.250
12 Rb 0.750 0.750 0.750
13 Ba 0.000 0.000 0.500
14 Ba 0.000 0.500 0.000
15 Ba 0.500 0.000 0.000
16 Ba 0.500 0.500 0.500


The following is a GGA-PBEsol calculation of an optimized crystal structure of CdTcP, from the Alexandria database.

VASP energy	-14.2	eV per formula unit
space-group type	F-43m (216)
formation energy from the elements	1.358	eV/atom

abc: 6.154 6.154 6.154
angles: 90.00 90.00 90.00
Atoms (fractional coordinates):
1 Cd 0.000 0.000 0.000
2 Cd 0.000 0.500 0.500
3 Cd 0.500 0.000 0.500
4 Cd 0.500 0.500 0.000
5 Tc 0.250 0.250 0.250
6 Tc 0.250 0.750 0.750
7 Tc 0.750 0.250 0.750
8 Tc 0.750 0.750 0.250
9 P 0.250 0.250 0.750
10 P 0.250 0.750 0.250
11 P 0.750 0.250 0.250
12 P 0.750 0.750 0.750


The following is a GGA-PBEsol calculation of an optimized crystal structure of ReGe2, from the Alexandria database.

VASP energy	-23.4	eV per formula unit
space-group type	C2/m (12)
formation energy from the elements	-0.059	eV/atom

abc: 9.066 3.168 7.493
angles: 90.00 117.97 90.00
Atoms (fractional coordinates):
1 Re 0.150 0.000 0.190
2 Re 0.350 0.500 0.810
3 Re 0.650 0.500 0.190
4 Re 0.850 0.000 0.810
5 Ge 0.100 0.500 0.884
6 Ge 0.148 0.000 0.539
7 Ge 0.352 0.500 0.461
8 Ge 0.400 0.000 0.116
9 Ge 0.600 0.000 0.884
10 Ge 0.648 0.500 0.539
11 Ge 0.852 0.000 0.461
12 Ge 0.900 0.500 0.116


The following is a GGA-PBEsol calculation of an optimized crystal structure of Li5VP2O9, from the Alexandria database.

VASP energy	-118.1	eV per formula unit
space-group type	I4/mcm (140)
uncorrected formation energy	-2.344	eV per atom

abc: 7.568 7.568 7.568
angles: 105.31 105.31 118.16
Atoms (fractional coordinates):
1 Li 0.026 0.250 0.776
2 Li 0.250 0.026 0.776
3 Li 0.250 0.474 0.224
4 Li 0.250 0.750 0.500
5 Li 0.474 0.250 0.224
6 Li 0.526 0.750 0.776
7 Li 0.750 0.250 0.500
8 Li 0.750 0.526 0.776
9 Li 0.750 0.974 0.224
10 Li 0.974 0.750 0.224
11 V 0.000 0.000 0.000
12 V 0.500 0.500 0.000
13 P 0.209 0.709 0.919
14 P 0.291 0.209 0.500
15 P 0.709 0.791 0.500
16 P 0.791 0.291 0.081
17 O 0.021 0.521 0.217
18 O 0.122 0.184 0.306
19 O 0.184 0.878 0.061
20 O 0.196 0.979 0.500
21 O 0.250 0.250 0.000
22 O 0.304 0.804 0.783
23 O 0.316 0.378 0.694
24 O 0.378 0.684 0.061
25 O 0.479 0.696 0.500
26 O 0.521 0.304 0.500
27 O 0.622 0.316 0.939
28 O 0.684 0.622 0.306
29 O 0.696 0.196 0.217
30 O 0.750 0.750 0.000
31 O 0.804 0.021 0.500
32 O 0.816 0.122 0.939
33 O 0.878 0.816 0.694
34 O 0.979 0.479 0.783


The following is a GGA-PBEsol calculation of an optimized crystal structure of V3Ga, from the Alexandria database.

VASP energy	-32.7	eV per formula unit
space-group type	Cmmm (65)
formation energy from the elements	-0.103	eV/atom

abc: 3.153 4.041 8.318
angles: 90.00 90.00 90.00
Atoms (fractional coordinates):
1 V 0.000 0.000 0.000
2 V 0.000 0.500 0.248
3 V 0.000 0.500 0.752
4 V 0.500 0.000 0.248
5 V 0.500 0.000 0.752
6 V 0.500 0.500 0.000
7 Ga 0.000 0.000 0.500
8 Ga 0.500 0.500 0.500